## Li3MnF6 (PBE with a Hubbard U)

Data for crystalline Li3MnF6 at its relaxed geometry.

Values from the calculation:
For the electronic total energy, the calculation gives -5.13 eV per atom. The density of states at the Fermi level comes out at 0.000 states/eV/atom. As for the crystal system: monoclinic.

Cell and atoms, written as POSCAR:
```
Li3MnF6
1.0
1.9456 -0.9446 4.6263
2.3358 -1.7092 -4.2075
3.1068 3.9613 -0.2056
F Li Mn
6 3 1
Cartesian
1.8552 0.0608 0.0767
5.5329 1.2467 0.1365
4.4045 -0.9778 1.6175
2.8666 2.5147 1.2473
4.5216 -1.2073 -1.0341
2.9837 2.2852 -1.4043
3.6201 0.7987 1.7810
3.7681 0.5088 -1.5678
1.5534 1.9807 -0.1028
0.0000 0.0000 0.0000
```